Material: NpCr2RuO8
Method: DFT, GGA+U
State: relaxed

Its calculated density is 6860 kg/m³. The total magnetic moment comes out at 0.416 μB per atom. Its density of states at the Fermi level is 0.268 states/eV/atom. The calculation puts the total DFT energy (no corrections) at -8.368 eV per atom.

It has space group Cmmm (No. 65), with a = 6.5980 Å, b = 6.7938 Å, c = 6.1564 Å, α = 90.00°, β = 90.00° and γ = 90.00°. The asymmetric unit holds Np at (0.0000, 0.0000, 0.0000), Cr at (0.0000, 0.5000, 0.2608), Ru at (0.0000, 0.0000, 0.5000), O at (0.0000, 0.2031, 0.2574), O at (0.1904, 0.5000, 0.0000) and O at (0.2001, 0.5000, 0.5000).